[1]
PrHoZn2Ge2: optimized geometry, PBE.

Values from the calculation:
total energy = -4.205 eV/atom
polymorph energy (0 for the lowest one) = 0.0 meV/atom
space group = P6_3/mmc

Cell lengths 4.2757, 4.2757, 16.0696 Å; angles 90.00, 90.00, 120.00 degrees
With the nearest neighbours (Å) after each atom.
Positions (direct):
Ge1 0.6667 0.3333 0.8807  3 Zn 2.53
Ge2 0.6667 0.3333 0.6193  3 Zn 2.53
Ge3 0.3333 0.6667 0.1193  3 Zn 2.53
Ge4 0.3333 0.6667 0.3807  3 Zn 2.53
Zn1 0.3333 0.6667 0.8470  3 Ge 2.53
Zn2 0.6667 0.3333 0.1530  3 Ge 2.53
Zn3 0.6667 0.3333 0.3470  3 Ge 2.53
Zn4 0.3333 0.6667 0.6530  3 Ge 2.53
Ho1 0.0000 0.0000 0.2500  6 Zn 2.92, 6 Ge 3.24
Ho2 0.0000 0.0000 0.7500  6 Zn 2.92, 6 Ge 3.24
Pr1 0.0000 0.0000 0.5000  6 Ge 3.13, 6 Zn 3.48
Pr2 0.0000 0.0000 0.0000  6 Ge 3.13, 6 Zn 3.48

***

[2]
HoGe3Pt4: optimized geometry, PBE.

Values from the calculation:
total energy = -5.926 eV/atom
space group = Pm

Cell lengths 5.5187, 3.9735, 6.6012 Å; angles 90.00, 92.60, 90.00 degrees
With the nearest neighbours (Å) after each atom.
Positions (direct):
Ge1 0.3696 0.0000 0.8356  5 Pt 2.49-2.56
Ge2 0.6122 0.5000 0.1941  5 Pt 2.66-2.87
Ge3 0.8809 0.5000 0.6660  6 Pt 2.63-2.71
Ho1 0.1417 0.0000 0.3109  7 Pt 2.84-3.02
Pt1 0.6658 0.0000 0.4618  4 Ge 2.65-2.67, 2 Pt 2.82, 1 Ho 2.85
Pt2 0.8108 0.0000 0.9351  3 Ge 2.49-2.70
Pt3 0.1750 0.5000 0.0054  4 Ge 2.54-2.71, 2 Ho 2.84
Pt4 0.3441 0.5000 0.5910  3 Ge 2.56-2.63, 2 Pt 2.82

***

[3]
Ho3GePt4: optimized geometry, PBE.

Values from the calculation:
total energy = -6.379 eV/atom
space group = Pm

Cell lengths 5.6523, 4.2148, 6.9286 Å; angles 90.00, 91.65, 90.00 degrees
With the nearest neighbours (Å) after each atom.
Positions (direct):
Ho1 0.6303 0.5000 0.8278  7 Pt 2.82-2.96
Ho2 0.3593 0.0000 0.1870  7 Pt 2.93-3.09
Ho3 0.8693 0.5000 0.3261  5 Pt 2.84-2.87
Ge1 0.1288 0.0000 0.6630  5 Pt 2.61-2.74
Pt1 0.6836 0.0000 0.5538  1 Ge 2.61, 4 Ho 2.85-2.86, 2 Pt 2.90
Pt2 0.8434 0.0000 0.0449  6 Ho 2.84-3.05, 2 Pt 2.88, 1 Ge 3.14
Pt3 0.3392 0.5000 0.4835  2 Ge 2.74, 4 Ho 2.84-2.95, 2 Pt 2.90
Pt4 0.1461 0.5000 0.9139  2 Ge 2.73, 4 Ho 2.82-3.06, 2 Pt 2.88

***

[4]
Ho2Ge3Pt9: optimized geometry, PBE.

Values from the calculation:
total energy = -6.327 eV/atom
space group = C2/c

Cell lengths 7.8125, 7.8125, 10.1040 Å; angles 112.93, 112.93, 60.25 degrees
With the nearest neighbours (Å) after each atom.
Positions (direct):
Ho1 0.7546 0.5838 0.7510  11 Pt 2.97-3.20
Ho2 0.5838 0.7546 0.2510  11 Pt 2.97-3.20
Ho3 0.4162 0.2454 0.7490  11 Pt 2.97-3.20
Ho4 0.2454 0.4162 0.2490  11 Pt 2.97-3.20
Pt1 0.6398 0.4778 0.4221  3 Ge 2.53-2.74, 2 Pt 2.75-2.81
Pt2 0.6938 0.8598 0.5801  3 Ge 2.55-2.71, 2 Pt 2.75-2.79
Pt3 0.7965 0.9764 0.9223  3 Ge 2.63-2.92, 3 Pt 2.80-2.94
Pt4 0.1402 0.3062 0.9199  3 Ge 2.55-2.71, 2 Pt 2.75-2.79
Pt5 0.5222 0.3602 0.0779  3 Ge 2.53-2.74, 2 Pt 2.75-2.81
Pt6 0.2035 0.0236 0.0777  3 Ge 2.63-2.92, 3 Pt 2.80-2.94
Pt7 0.0856 0.7027 0.7572  2 Ge 2.47-2.49, 1 Pt 2.75
Pt8 0.1341 0.8659 0.2500  2 Ge 2.48, 2 Pt 2.75
Pt9 0.3602 0.5222 0.5779  3 Ge 2.53-2.74, 2 Pt 2.75-2.81
Pt10 0.9764 0.7965 0.4223  3 Ge 2.63-2.92, 3 Pt 2.80-2.94
Pt11 0.8659 0.1341 0.7500  2 Ge 2.48, 2 Pt 2.75
Pt12 0.7027 0.0856 0.2572  2 Ge 2.47-2.49, 1 Pt 2.75
Pt13 0.3062 0.1402 0.4199  3 Ge 2.55-2.71, 2 Pt 2.75-2.79
Pt14 0.9144 0.2973 0.2428  2 Ge 2.47-2.49, 1 Pt 2.75
Pt15 0.2973 0.9144 0.7428  2 Ge 2.47-2.49, 1 Pt 2.75
Pt16 0.8598 0.6938 0.0801  3 Ge 2.55-2.71, 2 Pt 2.75-2.79
Pt17 0.4778 0.6398 0.9221  3 Ge 2.53-2.74, 2 Pt 2.75-2.81
Pt18 0.0236 0.2035 0.5777  3 Ge 2.63-2.92, 3 Pt 2.80-2.94
Ge1 0.8186 0.3602 0.9976  6 Pt 2.47-2.74
Ge2 0.1814 0.6398 0.0024  6 Pt 2.47-2.74
Ge3 0.6398 0.1814 0.5024  6 Pt 2.47-2.74
Ge4 0.0000 0.5000 0.5000  8 Pt 2.49-2.71
Ge5 0.5000 0.0000 0.0000  8 Pt 2.49-2.71
Ge6 0.3602 0.8186 0.4976  6 Pt 2.47-2.74

***

[5]
Ho2SiGePt: optimized geometry, PBE.

Values from the calculation:
total energy = -6.101 eV/atom
space group = C2/m

Cell lengths 5.6135, 5.6135, 10.2396 Å; angles 115.41, 115.41, 44.80 degrees
With the nearest neighbours (Å) after each atom.
Positions (direct):
Si1 0.6380 0.6380 0.0594  3 Pt 2.47-2.72, 1 Si 2.54
Si2 0.3620 0.3620 0.9406  3 Pt 2.47-2.72, 1 Si 2.54
Ge1 0.5270 0.5270 0.3846  1 Pt 2.64, 1 Ge 2.67, 2 Ho 2.96
Ge2 0.4730 0.4730 0.6154  1 Pt 2.64, 1 Ge 2.67, 2 Ho 2.96
Ho1 0.8135 0.8135 0.3868  5 Ge 2.96-3.09, 1 Si 2.98, 2 Pt 3.11
Ho2 0.1865 0.1865 0.6132  5 Ge 2.96-3.09, 1 Si 2.98, 2 Pt 3.11
Ho3 0.9930 0.9930 0.1713  2 Ge 2.96, 4 Pt 2.98-3.14, 5 Si 3.00-3.31
Ho4 0.0070 0.0070 0.8287  2 Ge 2.96, 4 Pt 2.98-3.14, 5 Si 3.00-3.31
Pt1 0.2689 0.2689 0.1493  3 Si 2.47-2.72, 1 Ge 2.64
Pt2 0.7311 0.7311 0.8507  3 Si 2.47-2.72, 1 Ge 2.64

***

[6]
TbHoGe2Pt: optimized geometry, PBE.

Values from the calculation:
total energy = -5.915 eV/atom
space group = C2/m

Cell lengths 5.6684, 5.6684, 10.3891 Å; angles 115.04, 115.04, 45.12 degrees
With the nearest neighbours (Å) after each atom.
Positions (direct):
Pt1 0.7282 0.7282 0.8358  4 Ge 2.54-2.76
Pt2 0.2718 0.2718 0.1642  4 Ge 2.54-2.76
Ho1 0.9902 0.9902 0.1705  4 Pt 2.98-3.30, 7 Ge 3.01-3.26
Ho2 0.0098 0.0098 0.8295  4 Pt 2.98-3.30, 7 Ge 3.01-3.26
Ge1 0.4761 0.4761 0.6142  1 Pt 2.59, 1 Ge 2.64
Ge2 0.3560 0.3560 0.9480  3 Pt 2.54-2.76, 1 Ge 2.70
Ge3 0.5239 0.5239 0.3858  1 Pt 2.59, 1 Ge 2.64
Ge4 0.6440 0.6440 0.0520  3 Pt 2.54-2.76, 1 Ge 2.70
Tb1 0.8108 0.8108 0.3857  6 Ge 3.00-3.12, 2 Pt 3.05
Tb2 0.1892 0.1892 0.6143  6 Ge 3.00-3.12, 2 Pt 3.05

***

[7]
HoTmGe2Pt: optimized geometry, PBE.

Values from the calculation:
total energy = -5.875 eV/atom
space group = C2/m

Cell lengths 5.6249, 5.6249, 10.3107 Å; angles 114.93, 114.93, 45.24 degrees
With the nearest neighbours (Å) after each atom.
Positions (direct):
Tm1 0.0099 0.0099 0.3287  4 Pt 2.96-3.29, 7 Ge 3.00-3.24
Tm2 0.9901 0.9901 0.6713  4 Pt 2.96-3.29, 7 Ge 3.00-3.24
Ho1 0.1882 0.1882 0.1135  6 Ge 2.96-3.11, 2 Pt 3.04
Ho2 0.8118 0.8118 0.8865  6 Ge 2.96-3.11, 2 Pt 3.04
Ge1 0.6427 0.6427 0.5523  3 Pt 2.53-2.76, 1 Ge 2.65
Ge2 0.5266 0.5266 0.8867  1 Pt 2.59, 1 Ge 2.63
Ge3 0.4734 0.4734 0.1133  1 Pt 2.59, 1 Ge 2.63
Ge4 0.3573 0.3573 0.4477  3 Pt 2.53-2.76, 1 Ge 2.65
Pt1 0.7279 0.7279 0.3352  4 Ge 2.53-2.76
Pt2 0.2721 0.2721 0.6648  4 Ge 2.53-2.76

***

[8]
YHo2Ge4Pt4: optimized geometry, PBE.

Values from the calculation:
total energy = -6.292 eV/atom
space group = Immm

Cell lengths 8.0786, 8.0786, 8.0786 Å; angles 150.01, 127.70, 61.47 degrees
With the nearest neighbours (Å) after each atom.
Positions (direct):
Ge1 0.3131 0.5000 0.8131  2 Pt 2.54, 1 Ge 2.66
Ge2 0.2192 0.2192 0.0000  6 Pt 2.58-2.62
Ge3 0.6869 0.5000 0.1869  2 Pt 2.54, 1 Ge 2.66
Ge4 0.7808 0.7808 0.0000  6 Pt 2.58-2.62
Ho1 0.3746 0.8746 0.5000  6 Ge 3.00-3.03, 6 Pt 3.05-3.14
Ho2 0.6254 0.1254 0.5000  6 Ge 3.00-3.03, 6 Pt 3.05-3.14
Pt1 0.0295 0.3262 0.7033  4 Ge 2.54-2.62
Pt2 0.6229 0.3262 0.2967  4 Ge 2.54-2.62
Pt3 0.9705 0.6738 0.2967  4 Ge 2.54-2.62
Pt4 0.3771 0.6738 0.7033  4 Ge 2.54-2.62
Y1 0.0000 0.0000 0.0000  6 Ge 3.04-3.06

***

[9]
HoZn2GePt4: optimized geometry, PBE.

Values from the calculation:
total energy = -5.127 eV/atom
space group = P4/mmm

Cell lengths 4.3047, 4.3047, 7.1249 Å; angles 90.00, 90.00, 90.00 degrees
With the nearest neighbours (Å) after each atom.
Positions (direct):
Zn1 0.5000 0.5000 0.0000  8 Pt 2.67
Zn2 0.0000 0.0000 0.5000  8 Pt 2.92, 4 Ho 3.04
Ge1 0.0000 0.0000 0.0000  8 Pt 2.67
Pt1 0.0000 0.5000 0.7774  2 Ge 2.67, 4 Zn 2.67-2.92, 2 Ho 2.92
Pt2 0.5000 0.0000 0.2226  2 Ge 2.67, 4 Zn 2.67-2.92, 2 Ho 2.92
Pt3 0.0000 0.5000 0.2226  2 Ge 2.67, 4 Zn 2.67-2.92, 2 Ho 2.92
Pt4 0.5000 0.0000 0.7774  2 Ge 2.67, 4 Zn 2.67-2.92, 2 Ho 2.92
Ho1 0.5000 0.5000 0.5000  8 Pt 2.92, 4 Zn 3.04

***

[10]
HoPuGe: optimized geometry, PBE.

Values from the calculation:
total energy = -7.634 eV/atom
polymorph energy (0 for the lowest one) = 0.0 meV/atom
space group = F-43m

Cell lengths 4.8680, 4.8680, 4.8680 Å; angles 60.00, 60.00, 60.00 degrees
With the nearest neighbours (Å) after each atom.
Positions (direct):
Pu1 0.7500 0.7500 0.7500  4 Ho 2.98
Ho1 0.0000 0.0000 0.0000  4 Pu 2.98, 4 Ge 2.98
Ge1 0.2500 0.2500 0.2500  4 Ho 2.98

***

[11]
RbHoGe: optimized geometry, PBE.

Values from the calculation:
total energy = -3.207 eV/atom
polymorph energy (0 for the lowest one) = 0.0 meV/atom
space group = F-43m

Cell lengths 5.3052, 5.3052, 5.3052 Å; angles 60.00, 60.00, 60.00 degrees
With the nearest neighbours (Å) after each atom.
Positions (direct):
Ho1 0.2500 0.2500 0.2500  4 Ge 3.25
Ge1 0.0000 0.0000 0.0000  4 Rb 3.25, 4 Ho 3.25
Rb1 0.7500 0.7500 0.7500  4 Ge 3.25